Compound: Ac3Dy2PaP6
Source: the Alexandria database
Functional: PBE
Structure: relaxed

Lattice parameters (Å, degrees): 7.2458 7.2458 7.3542 99.44 99.44 119.99
With the nearest neighbours (Å) after each atom.
Element x y z (fractional)
Ac 0.0000 0.0000 0.0000  6 P 3.08-3.14
Ac 0.3314 0.6686 0.0000  6 P 3.08-3.12
Ac 0.6686 0.3314 0.0000  6 P 3.08-3.12
Dy 0.1662 0.8338 0.5000  6 P 2.88-2.89
Dy 0.8338 0.1662 0.5000  6 P 2.88-2.89
Pa 0.5000 0.5000 0.5000  6 P 2.82
P 0.1005 0.4266 0.2792  1 Pa 2.82, 2 Dy 2.88-2.89, 3 Ac 3.08-3.12
P 0.2484 0.2484 0.7217  1 Pa 2.82, 2 Dy 2.88, 3 Ac 3.09-3.14
P 0.4266 0.1005 0.2792  1 Pa 2.82, 2 Dy 2.88-2.89, 3 Ac 3.08-3.12
P 0.5734 0.8995 0.7208  1 Pa 2.82, 2 Dy 2.88-2.89, 3 Ac 3.08-3.12
P 0.7516 0.7516 0.2783  1 Pa 2.82, 2 Dy 2.88, 3 Ac 3.09-3.14
P 0.8995 0.5734 0.7208  1 Pa 2.82, 2 Dy 2.88-2.89, 3 Ac 3.08-3.12

SG	C2/m (12)
energy of formation	-1.4661	eV per atom
calculated volume	316	Å³ per cell